4
Lattice="3.2226 -4.6378 0.0000 3.2226 4.6378 0.0000 0.0000 0.0000 3.4264" Properties=species:S:1:pos:R:3 comment="Ce2AlTl GGA-PBE relaxed" formation_enthalpy_0k_ev_per_atom=-0.237 volume_a3_per_atom=25.6 total_energy_ev_per_atom=-4.731 magnetic_moment_mub_per_fu=1.3 spacegroup="Cmmm (65)" pbc="T T T"
Ce 1.6113 2.3189 0.0000
Ce 1.6113 -2.3189 0.0000
Al 0.0000 0.0000 1.7132
Tl 3.2226 0.0000 1.7132

4
Lattice="4.6500 0.0000 0.0000 0.0000 4.6500 0.0000 0.0000 0.0000 4.7333" Properties=species:S:1:pos:R:3 comment="CeAlTl2 GGA-PBE relaxed" formation_enthalpy_0k_ev_per_atom=-0.192 volume_a3_per_atom=25.6 total_energy_ev_per_atom=-3.794 magnetic_moment_mub_per_fu=0.8 spacegroup="P4/mmm (123)" pbc="T T T"
Ce 0.0000 0.0000 0.0000
Al 2.3250 2.3250 0.0000
Tl 0.0000 2.3250 2.3667
Tl 2.3250 0.0000 2.3667

6
Lattice="-2.6948 3.0239 4.4640 2.6948 -3.0239 4.4640 2.6948 3.0239 -4.4640" Properties=species:S:1:pos:R:3 comment="Ce4AlTl GGA-PBE relaxed" formation_enthalpy_0k_ev_per_atom=-0.147 volume_a3_per_atom=24.3 total_energy_ev_per_atom=-5.121 magnetic_moment_mub_per_fu=1.4 spacegroup="Immm (71)" pbc="T T T"
Ce 2.6948 -1.5587 3.0863
Ce 0.0000 1.4652 1.3778
Ce 2.6948 1.5587 3.0863
Ce 0.0000 4.5826 1.3778
Al 2.6948 0.0000 0.0000
Tl 0.0000 0.0000 4.4640

10
Lattice="8.7508 -2.4085 0.0000 8.7508 2.4085 0.0000 -1.5432 0.0000 6.5448" Properties=species:S:1:pos:R:3 comment="Ce4AlTl5 GGA-PBE relaxed" formation_enthalpy_0k_ev_per_atom=-0.195 volume_a3_per_atom=27.6 total_energy_ev_per_atom=-4.126 magnetic_moment_mub_per_fu=4.0 spacegroup="C2/m (12)" pbc="T T T"
Ce 1.1200 0.0000 2.0029
Ce 3.8573 0.0000 5.9164
Ce 12.1011 0.0000 0.6283
Ce 14.8384 0.0000 4.5419
Al 8.7508 0.0000 0.0000
Tl 0.4852 0.0000 5.3425
Tl 4.5497 0.0000 2.6306
Tl 7.9792 0.0000 3.2724
Tl 11.4087 0.0000 3.9142
Tl 15.4732 0.0000 1.2023

4
Lattice="4.5647 0.0000 0.0000 0.0000 4.5647 0.0000 0.0000 0.0000 4.3994" Properties=species:S:1:pos:R:3 comment="CeAl2Tl GGA-PBE relaxed" formation_enthalpy_0k_ev_per_atom=-0.227 volume_a3_per_atom=22.9 total_energy_ev_per_atom=-4.173 magnetic_moment_mub_per_fu=0.6 spacegroup="P4/mmm (123)" pbc="T T T"
Ce 0.0000 0.0000 0.0000
Al 0.0000 2.2824 2.1997
Al 2.2824 0.0000 2.1997
Tl 2.2824 2.2824 0.0000

10
Lattice="3.4006 0.0000 0.0000 0.0000 3.4006 0.0000 0.0000 0.0000 23.4203" Properties=species:S:1:pos:R:3 comment="Ce5AlTl4 GGA-PBE relaxed" formation_enthalpy_0k_ev_per_atom=-0.247 volume_a3_per_atom=27.1 total_energy_ev_per_atom=-4.535 magnetic_moment_mub_per_fu=4.0 spacegroup="P4/mmm (123)" pbc="T T T"
Ce 0.0000 0.0000 0.0000
Ce 0.0000 0.0000 4.7782
Ce 0.0000 0.0000 9.6223
Ce 0.0000 0.0000 13.7980
Ce 0.0000 0.0000 18.6421
Al 1.7003 1.7003 11.7101
Tl 1.7003 1.7003 2.3782
Tl 1.7003 1.7003 7.1804
Tl 1.7003 1.7003 16.2399
Tl 1.7003 1.7003 21.0421

9
Lattice="-1.5641 4.5037 8.0976 1.5641 -4.5037 8.0976 1.5641 4.5037 -8.0976" Properties=species:S:1:pos:R:3 comment="Ce6AlTl2 GGA-PBE relaxed" formation_enthalpy_0k_ev_per_atom=-0.094 volume_a3_per_atom=25.4 total_energy_ev_per_atom=-4.992 magnetic_moment_mub_per_fu=2.6 spacegroup="Immm (71)" pbc="T T T"
Ce 1.5641 -3.0568 5.5986
Ce 0.0000 1.4469 2.4990
Ce 0.0000 2.8439 0.0000
Ce 0.0000 6.1636 0.0000
Ce 1.5641 3.0568 5.5986
Ce 0.0000 7.5606 2.4990
Al 1.5641 0.0000 0.0000
Tl 0.0000 0.0000 5.5002
Tl 0.0000 0.0000 10.6950

8
Lattice="0.0000 3.4139 9.3253 3.4060 0.0000 9.3253 3.4060 3.4139 0.0000" Properties=species:S:1:pos:R:3 comment="Ce4AlTl3 GGA-PBE relaxed" formation_enthalpy_0k_ev_per_atom=-0.235 volume_a3_per_atom=27.1 total_energy_ev_per_atom=-4.557 magnetic_moment_mub_per_fu=4.3 spacegroup="Fmmm (69)" pbc="T T T"
Ce 1.7030 1.7069 2.2579
Ce 1.7030 1.7069 7.0674
Ce 5.1089 5.1208 11.5833
Ce 5.1089 5.1208 16.3927
Al 0.0000 0.0000 0.0000
Tl 3.4060 3.4139 4.6657
Tl 3.4060 3.4139 9.3253
Tl 3.4060 3.4139 13.9850

8
Lattice="-2.3542 2.3542 9.6508 2.3542 -2.3542 9.6508 2.3542 2.3542 -9.6508" Properties=species:S:1:pos:R:3 comment="Ce5AlTl2 GGA-PBE relaxed" formation_enthalpy_0k_ev_per_atom=-0.161 volume_a3_per_atom=26.7 total_energy_ev_per_atom=-4.929 magnetic_moment_mub_per_fu=4.1 spacegroup="I4/mmm (139)" pbc="T T T"
Ce 0.0000 0.0000 0.0000
Ce 2.3542 0.0000 2.3233
Ce 2.3542 0.0000 7.3275
Ce 0.0000 2.3542 2.3233
Ce 0.0000 2.3542 7.3275
Al 0.0000 0.0000 9.6508
Tl 0.0000 0.0000 4.8211
Tl 0.0000 0.0000 14.4804

4
Lattice="4.6690 0.0000 0.0000 0.0000 4.6690 0.0000 0.0000 0.0000 4.6762" Properties=species:S:1:pos:R:3 comment="Ce2AlTl GGA-PBE relaxed" formation_enthalpy_0k_ev_per_atom=-0.233 volume_a3_per_atom=25.5 total_energy_ev_per_atom=-4.727 magnetic_moment_mub_per_fu=1.3 spacegroup="P4/mmm (123)" pbc="T T T"
Ce 0.0000 2.3345 0.0000
Ce 2.3345 0.0000 0.0000
Al 0.0000 0.0000 2.3381
Tl 2.3345 2.3345 2.3381

6
Lattice="4.6875 0.0000 0.0000 0.0000 4.6875 0.0000 0.0000 0.0000 7.2717" Properties=species:S:1:pos:R:3 comment="CeAlTl GGA-PBE relaxed" formation_enthalpy_0k_ev_per_atom=-0.140 volume_a3_per_atom=26.6 total_energy_ev_per_atom=-4.155 magnetic_moment_mub_per_fu=1.3 spacegroup="P4/nmm (129)" pbc="T T T"
Ce 1.1719 1.1719 1.4643
Ce 3.5156 3.5156 5.8075
Al 1.1719 3.5156 3.6359
Al 3.5156 1.1719 3.6359
Tl 1.1719 1.1719 5.5038
Tl 3.5156 3.5156 1.7679

4
Lattice="0.0000 3.7347 3.7347 3.7347 0.0000 3.7347 3.7347 3.7347 0.0000" Properties=species:S:1:pos:R:3 comment="CeTmAlTl GGA-PBE relaxed" formation_enthalpy_0k_ev_per_atom=-0.259 volume_a3_per_atom=26.0 total_energy_ev_per_atom=-4.388 magnetic_moment_mub_per_fu=1.0 spacegroup="F-43m (216)" pbc="T T T"
Ce 0.0000 0.0000 0.0000
Tm 3.7347 3.7347 3.7347
Al 1.8673 1.8673 1.8673
Tl 5.6020 5.6020 5.6020

4
Lattice="3.3984 0.0000 0.0000 0.0000 3.3984 0.0000 0.0000 0.0000 8.7458" Properties=species:S:1:pos:R:3 comment="CeTmAlTl GGA-PBE relaxed" formation_enthalpy_0k_ev_per_atom=-0.302 volume_a3_per_atom=25.3 total_energy_ev_per_atom=-4.431 magnetic_moment_mub_per_fu=0.9 spacegroup="P4mm (99)" pbc="T T T"
Ce 0.0000 0.0000 0.0000
Tm 0.0000 0.0000 4.6947
Al 1.6992 1.6992 6.6426
Tl 1.6992 1.6992 2.4121

12
Lattice="2.7888 1.6101 8.8440 -2.7888 1.6101 8.8440 0.0000 -3.2202 8.8440" Properties=species:S:1:pos:R:3 comment="Ce2TmAl9 GGA-PBE relaxed" formation_enthalpy_0k_ev_per_atom=-0.320 volume_a3_per_atom=19.9 total_energy_ev_per_atom=-4.489 magnetic_moment_mub_per_fu=1.5 spacegroup="R-3m (166)" pbc="T T T"
Ce 0.0000 0.0000 3.8218
Ce 0.0000 0.0000 22.7101
Tm 0.0000 0.0000 0.0000
Al -1.4206 -0.8202 11.0340
Al 0.0000 0.0000 8.8887
Al 0.0000 -1.6403 15.4980
Al -1.4205 0.8202 15.4980
Al 0.0000 0.0000 13.2660
Al 1.4206 -0.8202 11.0340
Al 0.0000 1.6403 11.0340
Al 0.0000 0.0000 17.6432
Al 1.4205 0.8202 15.4980

3
Lattice="-1.5341 1.5341 8.7920 1.5341 -1.5341 8.7920 1.5341 1.5341 -8.7920" Properties=species:S:1:pos:R:3 comment="CeTmAl GGA-PBE relaxed" formation_enthalpy_0k_ev_per_atom=0.451 volume_a3_per_atom=27.6 total_energy_ev_per_atom=-4.265 magnetic_moment_mub_per_fu=0.6 spacegroup="I4mm (107)" pbc="T T T"
Ce 0.0000 0.0000 0.0000
Tm 0.0000 0.0000 6.1004
Al 0.0000 0.0000 3.0804

6
Lattice="5.6134 -2.5602 0.0000 5.6134 2.5602 0.0000 -3.7795 0.0000 5.3133" Properties=species:S:1:pos:R:3 comment="CeTmAl GGA-PBE relaxed" formation_enthalpy_0k_ev_per_atom=-0.201 volume_a3_per_atom=25.5 total_energy_ev_per_atom=-4.917 magnetic_moment_mub_per_fu=0.9 spacegroup="C2/m (12)" pbc="T T T"
Ce -1.0127 0.0000 1.4343
Ce 8.4599 0.0000 3.8790
Tm 0.4912 0.0000 4.3663
Tm 6.9561 0.0000 0.9470
Al 2.5926 0.0000 1.8586
Al 4.8547 0.0000 3.4546

12
Lattice="2.7703 1.5994 8.7831 -2.7703 1.5994 8.7831 0.0000 -3.1989 8.7831" Properties=species:S:1:pos:R:3 comment="CeTm2Al9 GGA-PBE relaxed" formation_enthalpy_0k_ev_per_atom=-0.380 volume_a3_per_atom=19.5 total_energy_ev_per_atom=-4.426 magnetic_moment_mub_per_fu=0.8 spacegroup="R-3m (166)" pbc="T T T"
Ce 0.0000 0.0000 0.0000
Tm 0.0000 0.0000 3.7160
Tm 0.0000 0.0000 22.6332
Al -1.4123 -0.8154 10.9950
Al 0.0000 0.0000 8.8296
Al 0.0000 -1.6308 15.3542
Al -1.4123 0.8154 15.3542
Al 0.0000 0.0000 13.1746
Al 1.4123 -0.8154 10.9950
Al 0.0000 1.6308 10.9950
Al 0.0000 0.0000 17.5196
Al 1.4123 0.8154 15.3542

5
Lattice="-1.8943 1.8943 9.7658 1.8943 -1.8943 9.7658 1.8943 1.8943 -9.7658" Properties=species:S:1:pos:R:3 comment="Ce2Tm2Al GGA-PBE relaxed" formation_enthalpy_0k_ev_per_atom=0.263 volume_a3_per_atom=28.0 total_energy_ev_per_atom=-4.648 magnetic_moment_mub_per_fu=0.0 spacegroup="I4/mmm (139)" pbc="T T T"
Ce 1.8943 0.0000 4.8829
Ce 0.0000 1.8943 4.8829
Tm 0.0000 0.0000 1.6709
Tm 0.0000 0.0000 17.8607
Al 0.0000 0.0000 9.7658

7
Lattice="2.1573 -11.5803 0.0000 2.1573 11.5803 0.0000 0.0000 0.0000 3.2168" Properties=species:S:1:pos:R:3 comment="Ce2Tm2Al3 GGA-PBE relaxed" formation_enthalpy_0k_ev_per_atom=-0.268 volume_a3_per_atom=23.0 total_energy_ev_per_atom=-4.845 magnetic_moment_mub_per_fu=0.6 spacegroup="Cmmm (65)" pbc="T T T"
Ce 2.1573 6.6692 0.0000
Ce 2.1573 -6.6692 0.0000
Tm 2.1573 9.9549 0.0000
Tm 2.1573 -9.9549 0.0000
Al 2.1573 3.1790 1.6084
Al 2.1573 0.0000 1.6084
Al 2.1573 -3.1790 1.6084

12
Lattice="6.8952 -2.6947 0.0000 6.8952 2.6947 0.0000 -5.7721 0.0000 8.4507" Properties=species:S:1:pos:R:3 comment="CeTm7Al4 GGA-PBE relaxed" formation_enthalpy_0k_ev_per_atom=-0.040 volume_a3_per_atom=26.2 total_energy_ev_per_atom=-4.390 magnetic_moment_mub_per_fu=0.8 spacegroup="C2/m (12)" pbc="T T T"
Ce 0.0000 0.0000 0.0000
Tm -1.3448 0.0000 3.3307
Tm -2.1228 0.0000 7.4182
Tm 2.0213 0.0000 2.9397
Tm 6.8952 0.0000 0.0000
Tm 5.9970 0.0000 5.5110
Tm 10.1411 0.0000 1.0325
Tm 9.3631 0.0000 5.1200
Al 0.6235 0.0000 5.6411
Al 4.7632 0.0000 1.9966
Al 3.2550 0.0000 6.4541
Al 7.3948 0.0000 2.8096